1.
A plane-wave DFT calculation with GGA-PBE was carried out for crystalline Ba2CoHgC at its relaxed geometry.

```
Ba2CoHgC
1.0
5.911 0.000 0.000
0.000 5.911 0.000
0.000 0.000 4.188
Ba Co Hg C
2 1 1 1
direct
0.000 0.500 0.000
0.500 0.000 0.000
0.000 0.000 0.500
0.500 0.500 0.500
0.500 0.500 0.000
```

Output
Its density of states at the Fermi level is 0.858 states/eV per atom. The formation energy is 3.58 eV/f.u. The space-group type is No. 123. Its size of the total moment is 1.348 μB/f.u.

=====

2.
A plane-wave DFT calculation with GGA-PBE was carried out for crystalline TbCe2PaSb4 at its relaxed geometry.

```
TbCe2PaSb4
1.0
7.692 0.000 0.000
0.000 4.440 0.000
-2.559 0.000 7.265
Tb Ce Pa Sb
1 2 1 4
direct
0.000 0.000 0.000
0.000 0.500 0.500
0.500 0.000 0.500
0.500 0.500 0.000
0.249 0.500 0.243
0.253 0.000 0.758
0.747 0.000 0.242
0.751 0.500 0.757
```

Output
Its total energy is -49.840 eV/cell. Its density of states at the Fermi level is 2.339 states/eV per atom. The space-group type is No. 10. Its size of the total moment is 2.775 μB/f.u.

=====

3.
A plane-wave DFT calculation with GGA-PBE was carried out for crystalline NaInRu3 at its relaxed geometry.

```
NaInRu3
1.0
4.993 0.000 0.000
0.000 4.993 0.000
0.000 0.000 4.993
Na In Ru
1 1 3
direct
0.000 0.000 0.000
0.500 0.500 0.500
0.000 0.500 0.500
0.500 0.000 0.500
0.500 0.500 0.000
```

Output
Its density of states at the Fermi level is 1.379 states/eV per atom. The formation energy is 9.13 eV/f.u. The space-group type is No. 221. Its energy above the most stable polymorph in this dataset is 0 meV per atom. Its size of the total moment is 5.640 μB/f.u.

=====

4.
A plane-wave DFT calculation with GGA-PBE was carried out for crystalline Tb3DyIr at its relaxed geometry.

```
Tb3DyIr
1.0
5.451 0.000 0.000
0.000 5.451 0.000
0.000 0.000 5.451
Tb Dy Ir
3 1 1
direct
0.000 0.000 0.500
0.000 0.500 0.000
0.500 0.000 0.000
0.500 0.500 0.500
0.000 0.000 0.000
```

Output
Its density of states at the Fermi level is 1.481 states/eV per atom. The formation energy is -1.14 eV/f.u. The space-group type is No. 221. Its energy above the most stable polymorph in this dataset is 95 meV per atom. Its size of the total moment is 0.001 μB/f.u.

=====

5.
A plane-wave DFT calculation with GGA-PBE was carried out for crystalline CdSi2Os at its relaxed geometry.

```
CdSi2Os
1.0
-2.969 2.969 5.369
2.969 -2.969 5.369
2.969 2.969 -5.369
Cd Si Os
2 4 2
direct
0.000 0.000 0.000
0.750 0.250 0.500
0.187 0.625 0.062
0.375 0.437 0.562
0.563 0.125 0.938
0.875 0.813 0.438
0.250 0.750 0.500
0.500 0.500 0.000
```

Output
Its total energy is -41.877 eV/cell. Its density of states at the Fermi level is 0.801 states/eV per atom. The space-group type is No. 122. Its size of the total moment is 0.000 μB/f.u.

=====

6.
A plane-wave DFT calculation with GGA-PBE was carried out for crystalline Mg5Cu3 at its relaxed geometry.

```
Mg5Cu3
1.0
3.221 0.000 0.000
0.000 3.221 0.000
0.000 0.000 13.285
Mg Cu
5 3
direct
0.000 0.000 0.000
0.000 0.000 0.227
0.000 0.000 0.773
0.500 0.500 0.388
0.500 0.500 0.612
0.000 0.000 0.500
0.500 0.500 0.114
0.500 0.500 0.886
```

Output
Its density of states at the Fermi level is 0.268 states/eV per atom. The formation energy is -0.65 eV/f.u. The space-group type is No. 123. Its energy above the most stable polymorph in this dataset is 0 meV per atom. Its size of the total moment is 0.000 μB/f.u.

=====

7.
A plane-wave DFT calculation with GGA-PBE was carried out for crystalline Li2SbBr at its relaxed geometry.

```
Li2SbBr
1.0
-2.335 2.335 4.103
2.335 -2.335 4.103
2.335 2.335 -4.103
Li Sb Br
2 1 1
direct
0.250 0.750 0.500
0.750 0.250 0.500
0.000 0.000 0.000
0.500 0.500 0.000
```

Output
Its density of states at the Fermi level is 0.223 states/eV per atom. The space-group type is No. 139. Its energy above the most stable polymorph in this dataset is 447 meV per atom. Its size of the total moment is 0.000 μB/f.u.

=====

8.
A plane-wave DFT calculation with GGA-PBE was carried out for crystalline Tb4Nb6O19 at its relaxed geometry.

```
Tb4Nb6O19
1.0
-4.585 4.585 4.585
4.585 -4.585 4.585
4.585 4.585 -4.585
Tb Nb O
4 6 19
direct
0.000 0.000 0.711
0.000 0.711 0.000
0.289 0.289 0.289
0.711 0.000 0.000
0.152 0.652 0.500
0.348 0.500 0.848
0.500 0.152 0.652
0.500 0.848 0.348
0.652 0.500 0.152
0.848 0.348 0.500
0.000 0.000 0.000
0.000 0.329 0.329
0.000 0.671 0.671
0.031 0.277 0.669
0.246 0.969 0.638
0.277 0.669 0.031
0.329 0.000 0.329
0.329 0.329 0.000
0.331 0.608 0.362
0.362 0.331 0.608
0.392 0.723 0.754
0.608 0.362 0.331
0.638 0.246 0.969
0.669 0.031 0.277
0.671 0.000 0.671
0.671 0.671 0.000
0.723 0.754 0.392
0.754 0.392 0.723
0.969 0.638 0.246
```

Output
Its total energy is -254.669 eV/cell. Its density of states at the Fermi level is 0.224 states/eV per atom. The space-group type is No. 197. Its size of the total moment is 2.112 μB/f.u.